DFT (PBE) results for an optimized crystal structure of Na2FeOsC.

a b c (Å): 4.600 4.600 3.963
angles (deg): 90.00 90.00 90.00
Space group P4/mmm (No. 123)
Inequivalent atoms, fractional coordinates:
Na (0.000, 0.500, 0.000) x2
Fe (0.000, 0.000, 0.500) x1
Os (0.500, 0.500, 0.500) x1
C (0.500, 0.500, 0.000) x1

- Energy of formation from the pure elements: 1.07 eV per atom

DFT (PBE) results for an optimized crystal structure of NaFePd2C.

a b c (Å): 4.891 4.891 3.584
angles (deg): 90.00 90.00 90.00
Space group P4/mmm (No. 123)
Inequivalent atoms, fractional coordinates:
Na (0.000, 0.000, 0.000) x1
Fe (0.500, 0.500, 0.500) x1
Pd (0.000, 0.500, 0.500) x2
C (0.500, 0.500, 0.000) x1

- Energy of formation from the pure elements: 0.81 eV per atom

DFT (PBE) results for an optimized crystal structure of NaPrFeC.

a b c (Å): 3.593 3.593 11.572
angles (deg): 90.00 90.00 90.00
Space group P4/nmm (No. 129, origin choice 2)
Inequivalent atoms, fractional coordinates:
Na (0.250, 0.750, 0.000) x2
Pr (0.250, 0.250, 0.300) x2
Fe (0.250, 0.750, 0.500) x2
C (0.250, 0.250, 0.574) x2

- Energy of formation from the pure elements: 0.11 eV per atom

DFT (PBE) results for an optimized crystal structure of NaFeRu2C.

a b c (Å): 4.343 4.343 4.903
angles (deg): 90.00 90.00 90.00
Space group P4/mmm (No. 123)
Inequivalent atoms, fractional coordinates:
Na (0.000, 0.000, 0.000) x1
Fe (0.000, 0.000, 0.500) x1
Ru (0.000, 0.500, 0.500) x2
C (0.500, 0.500, 0.000) x1

- Energy of formation from the pure elements: 2.43 eV per atom

DFT (PBE) results for an optimized crystal structure of Na2TiFeC.

a b c (Å): 4.823 4.823 3.711
angles (deg): 90.00 90.00 90.00
Space group P4/mmm (No. 123)
Inequivalent atoms, fractional coordinates:
Na (0.000, 0.500, 0.000) x2
Ti (0.000, 0.000, 0.500) x1
Fe (0.500, 0.500, 0.500) x1
C (0.500, 0.500, 0.000) x1

- Energy of formation from the pure elements: 1.06 eV per atom

DFT (PBE) results for an optimized crystal structure of NaFeWC2.

a b c (Å): 3.781 3.781 4.469
angles (deg): 90.00 90.00 90.00
Space group P4/mmm (No. 123)
Inequivalent atoms, fractional coordinates:
Na (0.000, 0.000, 0.000) x1
Fe (0.000, 0.000, 0.500) x1
W (0.500, 0.500, 0.000) x1
C (0.000, 0.500, 0.500) x2

- Energy of formation from the pure elements: 2.32 eV per atom

DFT (PBE) results for an optimized crystal structure of Na2YFeC.

a b c (Å): 4.853 4.853 4.753
angles (deg): 90.00 90.00 90.00
Space group P4/mmm (No. 123)
Inequivalent atoms, fractional coordinates:
Na (0.000, 0.500, 0.000) x2
Y (0.000, 0.000, 0.500) x1
Fe (0.500, 0.500, 0.500) x1
C (0.000, 0.000, 0.000) x1

- Energy of formation from the pure elements: 0.90 eV per atom

DFT (PBE) results for an optimized crystal structure of Nb4FeC.

a b c (Å): 5.592 5.526 6.195
angles (deg): 90.00 102.93 90.00
Space group P2_1/c (No. 14)
Inequivalent atoms, fractional coordinates:
Nb (0.101, 0.161, 0.199) x4
Nb (0.358, 0.633, 0.128) x4
Fe (0.500, 0.000, 0.000) x2
C (0.000, 0.000, 0.500) x2

- Energy of formation from the pure elements: -0.02 eV per atom

The following spin magnetization values (in μB/cell) correspond, in order, to the records above: 3.57, 2.23, 0.00, 0.92, 1.24, 3.61, 2.85, 0.00.